# 1
Material: TaCu2As
Method: DFT, PBE
State: relaxed

Output
ΔE_f (meV per atom): 118
Total DFT energy (no corrections) (eV per cell): -48.44
Volume (Å³ per cell): 119.30

CIF file:
```
data_TaCu2As
_chemical_formula_sum 'Ta2 Cu4 As2'
_space_group_name_H-M_alt 'I 4/m m m'
_space_group_IT_number 139
_space_group_name_Hall '-I 4 2'
_cell_length_a 3.660
_cell_length_b 3.660
_cell_length_c 8.904
_cell_angle_alpha 90.00
_cell_angle_beta 90.00
_cell_angle_gamma 90.00
loop_
_atom_site_label
_atom_site_type_symbol
_atom_site_fract_x
_atom_site_fract_y
_atom_site_fract_z
Ta1 Ta 0.000 0.000 0.000
Cu1 Cu 0.000 0.500 0.250
As1 As 0.000 0.000 0.500
```

# 2
Material: Ti6Al12Mo
Method: DFT, PBE
State: relaxed

Output
ΔE_f (meV per atom): -292
Total DFT energy (no corrections) (eV per cell): -325.97
Volume (Å³ per cell): 947.42

CIF file:
```
data_Ti6Al12Mo
_chemical_formula_sum 'Ti18 Al36 Mo3'
_space_group_name_H-M_alt 'R -3'
_space_group_IT_number 148
_space_group_name_Hall '-R 3'
_cell_length_a 9.9363
_cell_length_b 9.9363
_cell_length_c 11.0806
_cell_angle_alpha 90.00
_cell_angle_beta 90.00
_cell_angle_gamma 120.00
loop_
_atom_site_label
_atom_site_type_symbol
_atom_site_fract_x
_atom_site_fract_y
_atom_site_fract_z
Ti1 Ti 0.0216 0.5925 0.2138
Al1 Al 0.0503 0.8621 0.3185
Al2 Al 0.0522 0.1924 0.9031
Mo1 Mo 0.0000 0.0000 0.5000
```